Here is a geometry-optimized InCuSb2 structure from the Alexandria database. Energies are from PBE.

V: 302 Å³/cell
E: -44.2 eV for the cell shown
DOS(E_F): 5.299 states/eV per cell
Formation energy (no corrections): 0.08 eV per atom

Structure (CIF):
```
data_InCuSb2
_chemical_formula_sum 'In3 Cu3 Sb6'
_cell_length_a 4.1443
_cell_length_b 4.1443
_cell_length_c 20.3273
_cell_angle_alpha 90.00
_cell_angle_beta 90.00
_cell_angle_gamma 120.00
_space_group_name_H-M_alt 'R 3 m'
_space_group_IT_number 160
_space_group_name_Hall 'R 3 -2"'
loop_
_atom_site_label
_atom_site_type_symbol
_atom_site_fract_x
_atom_site_fract_y
_atom_site_fract_z
In1 In 0.0000 0.0000 0.0000
Cu1 Cu 0.0000 0.0000 0.1641
Sb1 Sb 0.0000 0.0000 0.5591
Sb2 Sb 0.0000 0.0000 0.7704
```